1.
AlTe3: optimized geometry, PBE.

Calculated values
**SG**: Pnma
**Raw total energy**: -3.416 eV/atom

abc: 7.887 7.211 9.414
angles: 90.00 90.00 90.00
Positions (direct):
Te 0.286 0.823 0.750
Te 0.786 0.677 0.250
Te 0.214 0.323 0.750
Te 0.714 0.177 0.250
Te 0.678 0.183 0.927
Te 0.178 0.317 0.073
Te 0.822 0.683 0.573
Te 0.322 0.817 0.427
Te 0.322 0.817 0.073
Te 0.822 0.683 0.927
Te 0.178 0.317 0.427
Te 0.678 0.183 0.573
Al 0.621 0.880 0.750
Al 0.121 0.620 0.250
Al 0.879 0.380 0.750
Al 0.379 0.120 0.250

***

2.
Ag3Os: optimized geometry, PBE.

Calculated values
**SG**: I4/mmm
**Offset from the most stable computed form**: 1.66 eV per formula unit
**Calculated formation energy**: 3.26 eV/f.u.
**Raw total energy**: -4.131 eV/atom

abc: 8.451 8.451 8.451
angles: 151.77 151.77 40.34
Positions (direct):
Ag 0.500 0.000 0.500
Ag 0.126 0.126 0.000
Ag 0.874 0.874 0.000
Ag 0.750 0.250 0.500
Ag 0.250 0.750 0.500
Ag 0.000 0.500 0.500
Os 0.376 0.376 0.000
Os 0.624 0.624 0.000

***

3.
YFeP2Cl: optimized geometry, PBE.

Calculated values
**SG**: P4/mmm
**Offset from the most stable computed form**: 4.53 eV per formula unit
**Raw total energy**: -4.998 eV/atom

abc: 5.320 5.320 5.081
angles: 90.00 90.00 90.00
Positions (direct):
Y 0.000 0.000 0.000
P 0.000 0.500 0.000
P 0.500 0.000 0.000
Fe 0.500 0.500 0.500
Cl 0.000 0.000 0.500